1.
La2YSc | SCAN | single point on PBEsol structure

Excess energy over the best structure of this formula in the dataset = 3.6 kJ/mol of atoms
DFT formation energy = 8 kJ per mole of atoms

a b c (Å): 3.7895 5.6980 5.6980
angles (deg): 90.00 90.00 90.00
Last column: nearest neighbours and their distance in Å.
Fractional coordinates of all 4 atoms:
Sc 0.5000 0.5000 0.5000  8 La 3.42, 2 Sc 3.79
Y 0.5000 0.0000 0.0000  8 La 3.42, 2 Y 3.79
La 0.0000 0.0000 0.5000  4 Sc 3.42, 4 Y 3.42, 2 La 3.79
La 0.0000 0.5000 0.0000  4 Sc 3.42, 4 Y 3.42, 2 La 3.79

---

2.
CsVP3HO10 | SCAN | single point on PBEsol structure

a b c (Å): 7.4810 7.4810 9.0986
angles (deg): 72.89 72.89 71.38
Last column: nearest neighbours and their distance in Å.
Fractional coordinates of all 32 atoms:
O 0.4907 0.8611 0.1064  1 H 1.20
O 0.5093 0.1389 0.8936  1 H 1.20
O 0.2106 0.6410 0.8928  1 P 1.51
O 0.6410 0.2106 0.3928  1 P 1.51
O 0.2783 0.1473 0.3975  1 P 1.53
O 0.4036 0.4338 0.6928  2 P 1.59-1.62
O 0.6373 0.8800 0.3199  1 P 1.51
O 0.8800 0.6373 0.8199  1 P 1.51
O 0.8611 0.4907 0.6064  1 H 1.20
O 0.1389 0.5093 0.3936  1 H 1.20
O 0.5964 0.5662 0.3072  2 P 1.59-1.62
O 0.5662 0.5964 0.8072  2 P 1.59-1.62
O 0.8527 0.7217 0.1025  1 P 1.53
O 0.3627 0.1200 0.6801  1 P 1.51
O 0.7894 0.3590 0.1072  1 P 1.51
O 0.1200 0.3627 0.1801  1 P 1.51
O 0.1473 0.2783 0.8975  1 P 1.53
O 0.4338 0.4036 0.1928  2 P 1.59-1.62
O 0.7217 0.8527 0.6025  1 P 1.53
O 0.3590 0.7894 0.6072  1 P 1.51
P 0.7681 0.6467 0.7024  4 O 1.51-1.62
P 0.6251 0.3749 0.2500  4 O 1.51-1.59
P 0.3749 0.6251 0.7500  4 O 1.51-1.59
P 0.2319 0.3533 0.2976  4 O 1.51-1.62
P 0.3533 0.2319 0.7976  4 O 1.51-1.62
P 0.6467 0.7681 0.2024  4 O 1.51-1.62
V 0.5000 0.0000 0.5000  6 O 1.96-2.02
V 0.0000 0.5000 0.0000  6 O 1.96-2.02
Cs 0.9422 0.0578 0.7500  8 O 3.05-3.32
Cs 0.0578 0.9422 0.2500  8 O 3.05-3.32
H 0.5000 0.0000 0.0000  2 O 1.20
H 0.0000 0.5000 0.5000  2 O 1.20

---

no.,raw total energy (eV per atom),size of the total moment (Bohr magnetons per cell)
1,-31.988,0.00
2,-11.945,4.00